[1]
First-principles (PBE) data for crystalline ThTeRu at its relaxed geometry, as listed in the Alexandria database.

a = 3.9433 Å, b = 4.5379 Å, c = 4.5379 Å
α = 120.00°, β = 90.00°, γ = 90.00°
Closest atoms and distances in Å follow each position.
Sites, in units of the cell vectors:
Te  0.2029  0.3333  0.6667  3 Ru 2.65
Ru  0.1088  0.0000  0.0000  3 Te 2.65
Th  0.6883  0.6667  0.3333  3 Ru 3.10, 6 Te 3.24-3.31

Values from the calculation:
* formation energy without anion corrections: -720 meV per atom
* final energy: -22.0 eV/f.u.
* DOS(E_F): 0.371 states/eV/atom


[2]
First-principles (PBE) data for crystalline ThTeRu at its relaxed geometry, as listed in the Alexandria database.

a = 4.7368 Å, b = 4.7368 Å, c = 4.7368 Å
α = 60.00°, β = 60.00°, γ = 60.00°
Closest atoms and distances in Å follow each position.
Sites, in units of the cell vectors:
Th  0.5000  0.5000  0.5000  4 Ru 2.90
Ru  0.2500  0.2500  0.2500  4 Te 2.90, 4 Th 2.90
Te  0.0000  0.0000  0.0000  4 Ru 2.90

Values from the calculation:
* formation energy without anion corrections: -746 meV per atom
* final energy: -22.1 eV/f.u.
* DOS(E_F): 0.112 states/eV/atom


[3]
First-principles (PBE) data for crystalline Th5Te4Ru at its relaxed geometry, as listed in the Alexandria database.

a = 6.2750 Å, b = 7.6651 Å, c = 7.6651 Å
α = 80.35°, β = 65.84°, γ = 65.84°
Closest atoms and distances in Å follow each position.
Sites, in units of the cell vectors:
Th  0.2630  0.8372  0.6388  1 Ru 2.77
Th  0.9018  0.3612  0.8372  1 Ru 2.77
Te  0.4187  0.3954  0.7692  6 Th 3.18-3.28
Th  0.5011  0.0000  0.0000  2 Ru 3.14, 4 Te 3.20
Te  0.5833  0.6046  0.2308  6 Th 3.18-3.28
Th  0.7390  0.1628  0.3612  1 Ru 2.77
Te  0.8141  0.7692  0.6046  6 Th 3.18-3.28
Ru  0.0011  0.0000  0.0000  4 Th 2.77
Te  0.1879  0.2308  0.3954  6 Th 3.18-3.28
Th  0.1003  0.6388  0.1628  1 Ru 2.77

Values from the calculation:
* formation energy without anion corrections: -981 meV per atom
* final energy: -68.7 eV/f.u.
* DOS(E_F): 0.742 states/eV/atom